# BaAlCuWO5 (GGA+U, relaxed)
# Calculated total energy, eV per atom: -6.344
data_BaAlCuWO5
_cell_length_a 3.811
_cell_length_b 3.964
_cell_length_c 9.684
_cell_angle_alpha 90.00
_cell_angle_beta 90.00
_cell_angle_gamma 90.00
_symmetry_space_group_name_H-M 'P m m 2'
_symmetry_Int_Tables_number 25
loop_
_symmetry_equiv_pos_as_xyz
'x,y,z'
'-x,-y,z'
'-x,y,z'
'x,-y,z'
loop_
_atom_site_label
_atom_site_type_symbol
_atom_site_fract_x
_atom_site_fract_y
_atom_site_fract_z
Ba1 Ba 0.000 0.000 0.000
Al1 Al 0.000 0.000 0.391
Cu1 Cu 0.500 0.500 0.476
W1 W 0.500 0.500 0.765
O1 O 0.000 0.500 0.436
O2 O 0.000 0.500 0.760
O3 O 0.500 0.000 0.347
O4 O 0.500 0.000 0.784
O5 O 0.500 0.500 0.978